NaSr8Rh2 | PBE | relaxed

```
NaSr8Rh2
1.0
8.8204 -3.7982 0.0000
8.8204 3.7982 0.0000
-1.1953 0.0000 7.0497
Na Sr Rh
1 8 2
Direct
0.0000 0.0000 0.0000
0.1041 0.6068 0.6159
0.2057 0.2057 0.9037
0.3932 0.8959 0.3841
0.4234 0.4234 0.1837
0.5766 0.5766 0.8163
0.6068 0.1041 0.6159
0.7943 0.7943 0.0963
0.8959 0.3932 0.3841
0.2742 0.2742 0.3142
0.7258 0.7258 0.6858
```

Computed properties:
The space group is C2/m. Its calculated formation energy is -0.12 eV/atom.

Tm3CdHg5 | PBE | relaxed

```
Tm3CdHg5
1.0
8.9205 0.0000 0.0000
-4.4602 7.7254 0.0000
0.0000 0.0000 6.2078
Tm Cd Hg
6 2 10
Direct
0.0000 0.3485 0.2500
0.0000 0.6515 0.7500
0.3485 0.0000 0.2500
0.3485 0.3485 0.7500
0.6515 0.0000 0.7500
0.6515 0.6515 0.2500
0.0000 0.0000 0.0000
0.0000 0.0000 0.5000
0.0000 0.3163 0.7500
0.0000 0.6837 0.2500
0.3163 0.0000 0.7500
0.3163 0.3163 0.2500
0.3333 0.6667 0.0000
0.3333 0.6667 0.5000
0.6667 0.3333 0.0000
0.6667 0.3333 0.5000
0.6837 0.0000 0.2500
0.6837 0.6837 0.7500
```

Computed properties:
The space group is P6_3/mcm. Its calculated formation energy is -0.38 eV/atom.

PrSmCdSn | PBE | relaxed

```
PrSmCdSn
1.0
0.0000 3.8425 3.8425
3.8425 0.0000 3.8425
3.8425 3.8425 0.0000
Pr Sm Cd Sn
1 1 1 1
Direct
0.0000 0.0000 0.0000
0.5000 0.5000 0.5000
0.2500 0.2500 0.2500
0.7500 0.7500 0.7500
```

Computed properties:
The space group is F-43m. Its calculated formation energy is -0.53 eV/atom.

MgCuHAu2 | PBE | relaxed

```
MgCuHAu2
1.0
4.4883 0.0000 0.0000
0.0000 4.4883 0.0000
0.0000 0.0000 3.4552
Mg Cu H Au
1 1 1 2
Direct
0.0000 0.0000 0.0000
0.5000 0.5000 0.0000
0.5000 0.5000 0.5000
0.0000 0.5000 0.5000
0.5000 0.0000 0.5000
```

Computed properties:
The offset from the most stable computed form is 0.0 meV/atom. The space group is P4/mmm.

IrOsBr2N | PBE | relaxed

```
IrOsBr2N
1.0
5.2186 0.0000 0.0000
0.0000 5.2186 0.0000
0.0000 0.0000 4.7953
Ir Os Br N
1 1 2 1
Direct
0.0000 0.0000 0.0000
0.0000 0.0000 0.5000
0.0000 0.5000 0.0000
0.5000 0.0000 0.0000
0.5000 0.5000 0.5000
```

Computed properties:
The space group is P4/mmm. The calculation puts the uncorrected formation energy at 2.19 eV/atom.

LiAgP | PBE | relaxed

```
LiAgP
1.0
11.5920 0.0000 0.0000
0.0000 3.7869 0.0000
0.0000 0.0000 6.8969
Li Ag P
6 6 6
Direct
0.0556 0.0000 0.2142
0.2500 0.0000 0.8337
0.4444 0.0000 0.2142
0.5556 0.0000 0.7858
0.7500 0.0000 0.1663
0.9444 0.0000 0.7858
0.1173 0.5000 0.5728
0.2500 0.5000 0.1695
0.3827 0.5000 0.5728
0.6173 0.5000 0.4272
0.7500 0.5000 0.8305
0.8827 0.5000 0.4272
0.0830 0.5000 0.9307
0.2500 0.0000 0.4328
0.4170 0.5000 0.9307
0.5830 0.5000 0.0693
0.7500 0.0000 0.5672
0.9170 0.5000 0.0693
```

Computed properties:
The offset from the most stable computed form is 0.0 meV/atom. The space group is Pmma. Its calculated formation energy is -0.26 eV/atom.

PmMg16Al12 | PBE | relaxed

```
PmMg16Al12
1.0
7.5518 4.3600 2.9959
-7.5518 4.3600 2.9959
0.0000 -8.7201 2.9959
Pm Mg Al
1 16 12
Direct
0.0000 0.0000 0.0000
0.0206 0.3145 0.6268
0.0206 0.6268 0.3145
0.2376 0.2376 0.9053
0.2376 0.9053 0.2376
0.2820 0.6238 0.6238
0.3145 0.0206 0.6268
0.3145 0.6268 0.0206
0.3428 0.9412 0.9412
0.6238 0.2820 0.6238
0.6238 0.6238 0.2820
0.6235 0.6235 0.6235
0.6268 0.0206 0.3145
0.6268 0.3145 0.0206
0.9053 0.2376 0.2376
0.9412 0.3428 0.9412
0.9412 0.9412 0.3428
0.2560 0.2560 0.4398
0.2560 0.4398 0.2560
0.4376 0.4376 0.8001
0.4376 0.8001 0.4376
0.4398 0.2560 0.2560
0.6251 0.8113 0.9909
0.6251 0.9909 0.8113
0.8001 0.4376 0.4376
0.8113 0.6251 0.9909
0.8113 0.9909 0.6251
0.9909 0.6251 0.8113
0.9909 0.8113 0.6251
```

Computed properties:
The offset from the most stable computed form is 2.6 meV/atom. The space group is R3m. Its calculated formation energy is -0.07 eV/atom.

Ag5PtBr12 | PBE | relaxed

```
Ag5PtBr12
1.0
3.4233 -6.2183 0.0000
3.4233 6.2183 0.0000
-0.7626 0.0000 13.2221
Ag Pt Br
5 1 12
Direct
0.0000 0.0000 0.0000
0.1686 0.8314 0.5000
0.3330 0.6670 0.0000
0.6670 0.3330 0.0000
0.8314 0.1686 0.5000
0.5000 0.5000 0.5000
0.0140 0.3481 0.8833
0.1956 0.4817 0.3909
0.2188 0.2188 0.6128
0.3181 0.3181 0.1153
0.3481 0.0140 0.8833
0.4817 0.1956 0.3909
0.5183 0.8044 0.6091
0.6519 0.9860 0.1167
0.6819 0.6819 0.8847
0.7812 0.7812 0.3872
0.8044 0.5183 0.6091
0.9860 0.6519 0.1167
```

Computed properties:
The space group is C2/m. The calculation puts the uncorrected formation energy at -0.23 eV/atom.

LiZr2Cu | PBE | relaxed

```
LiZr2Cu
1.0
-1.9961 1.9961 4.5163
1.9961 -1.9961 4.5163
1.9961 1.9961 -4.5163
Li Zr Cu
1 2 1
Direct
0.0000 0.0000 0.0000
0.2500 0.7500 0.5000
0.5000 0.5000 0.0000
0.7500 0.2500 0.5000
```

Computed properties:
The offset from the most stable computed form is 163.3 meV/atom. The space group is I-4m2. Its calculated formation energy is 0.18 eV/atom.

Tm | PBE | relaxed

```
Tm
1.0
1.7569 1.0144 8.3815
-1.7569 1.0144 8.3815
0.0000 -2.0287 8.3815
Tm
3
Direct
0.0000 0.0000 0.0000
0.2220 0.2220 0.2220
0.7780 0.7780 0.7780
```

Computed properties:
The offset from the most stable computed form is 1.3 meV/atom. The space group is R-3m. Its calculated formation energy is 0.00 eV/atom.

SrW2Cl | PBE | relaxed

```
SrW2Cl
1.0
3.3685 0.0000 0.0000
0.0000 3.3685 0.0000
0.0000 0.0000 9.4678
Sr W Cl
1 2 1
Direct
0.0000 0.0000 0.0000
0.0000 0.0000 0.3884
0.5000 0.5000 0.2786
0.5000 0.5000 0.8221
```

Computed properties:
The offset from the most stable computed form is 0.0 meV/atom. The space group is P4mm. The calculation puts the uncorrected formation energy at 0.12 eV/atom.

Ca2YAu2 | PBE | relaxed

```
Ca2YAu2
1.0
7.8493 0.0000 0.0000
0.0000 7.8493 0.0000
0.0000 0.0000 4.3631
Ca Y Au
4 2 4
Direct
0.1629 0.3371 0.0000
0.3371 0.8371 0.0000
0.6629 0.1629 0.0000
0.8371 0.6629 0.0000
0.0000 0.0000 0.5000
0.5000 0.5000 0.5000
0.1366 0.6366 0.5000
0.3634 0.1366 0.5000
0.6366 0.8634 0.5000
0.8634 0.3634 0.5000
```

Computed properties:
The offset from the most stable computed form is 0.0 meV/atom. The space group is P4/mbm. Its calculated formation energy is -0.69 eV/atom.

Number 1: total energy -2.797 eV/atom. Number 2: total energy -2.135 eV/atom. Number 3: total energy -4.137 eV/atom. Number 4: total energy -3.189 eV/atom. Number 5: total energy -4.161 eV/atom. Number 6: total energy -3.653 eV/atom. Number 7: total energy -2.664 eV/atom. Number 8: total energy -2.475 eV/atom. Number 9: total energy -5.600 eV/atom. Number 10: total energy -4.470 eV/atom. Number 11: total energy -7.242 eV/atom. Number 12: total energy -4.092 eV/atom.